[1]
{"formula": "OsF", "functional": "PBE", "state": "relaxed", "lattice_angstrom": [[2.6396, 0.0000, 0.0000], [-1.3198, 2.2860, 0.0000], [0.0000, 0.0000, 9.2387]], "species": ["Os", "Os", "F", "F"], "frac_coords": [[0.3333, 0.6667, 0.6442], [0.6667, 0.3333, 0.1442], [0.3333, 0.6667, 0.4378], [0.6667, 0.3333, 0.9378]], "spacegroup": "P6_3mc", "dft_energy_ev_per_atom": -6.680}

[2]
{"formula": "OsF", "functional": "PBE", "state": "relaxed", "lattice_angstrom": [[4.9725, 0.0000, 0.0000], [0.0000, 4.9725, 0.0000], [0.0000, 0.0000, 4.9725]], "species": ["Os", "Os", "Os", "Os", "F", "F", "F", "F"], "frac_coords": [[0.0000, 0.0000, 0.0000], [0.0000, 0.5000, 0.5000], [0.5000, 0.0000, 0.5000], [0.5000, 0.5000, 0.0000], [0.2500, 0.2500, 0.2500], [0.2500, 0.7500, 0.7500], [0.7500, 0.2500, 0.7500], [0.7500, 0.7500, 0.2500]], "spacegroup": "F-43m", "dft_energy_ev_per_atom": -4.847}